The following is a DFT calculation (PBE-GGA) of a relaxed structure of LuWAu.

Cell: 6.464 6.464 6.464 Å, 90.00 90.00 90.00°
Positions (direct):
Lu (0.000, 0.000, 0.000)
Lu (0.000, 0.500, 0.500)
Lu (0.500, 0.000, 0.500)
Lu (0.500, 0.500, 0.000)
W (0.000, 0.000, 0.500)
W (0.000, 0.500, 0.000)
W (0.500, 0.000, 0.000)
W (0.500, 0.500, 0.500)
Au (0.250, 0.250, 0.250)
Au (0.250, 0.750, 0.750)
Au (0.750, 0.250, 0.750)
Au (0.750, 0.750, 0.250)

The calculation puts the calculated formation energy at 0.67 eV per atom. The crystal system is cubic. Its energy above the most stable polymorph in this dataset is 0 meV/atom. The value obtained for the total energy is -6.25 eV per atom. Its total moment is 6.5 μB/cell.